(1)
{
  "formula": "BPdNF2",
  "functional": "meta-GGA SCAN",
  "state": "single point on PBEsol structure",
  "lattice_angstrom": [[-1.273, 2.014, 1.307], [-3.275, -0.313, -2.708], [-1.856, -2.844, 2.574]],
  "species": ["N", "F", "F", "B", "Pd"],
  "fractional_positions": [[0.500, 0.000, 0.000], [0.000, 0.000, 0.500], [0.000, 0.500, 0.000], [0.000, 0.000, 0.000], [0.500, 0.500, 0.500]],
  "vol_a3_per_atom": 9.87,
  "space_group": "P4/mmm, No. 123",
  "e_form_raw_mev_per_atom": -494
}

***

(2)
{
  "formula": "BRuN2F",
  "functional": "meta-GGA SCAN",
  "state": "single point on PBEsol structure",
  "lattice_angstrom": [[-0.664, -1.657, -2.430], [3.431, -0.927, -0.305], [-0.580, -2.832, 2.090]],
  "species": ["N", "N", "F", "B", "Ru"],
  "fractional_positions": [[0.000, 0.500, 0.000], [0.000, 0.000, 0.500], [0.500, 0.000, 0.000], [0.000, 0.000, 0.000], [0.500, 0.500, 0.500]],
  "vol_a3_per_atom": 7.67,
  "space_group": "P4/mmm, No. 123",
  "e_form_raw_mev_per_atom": 689
}

***

(3)
{
  "formula": "BRuN2F",
  "functional": "meta-GGA SCAN",
  "state": "single point on PBEsol structure",
  "lattice_angstrom": [[-3.630, 0.021, -0.942], [0.938, -0.297, -3.619], [-0.103, -4.070, 0.307]],
  "species": ["Ru", "F", "N", "N", "B"],
  "fractional_positions": [[0.000, 0.000, 0.000], [0.000, 0.000, 0.500], [0.500, 0.000, 0.000], [0.000, 0.500, 0.000], [0.500, 0.500, 0.500]],
  "vol_a3_per_atom": 11.49,
  "space_group": "P4/mmm, No. 123",
  "e_form_raw_mev_per_atom": 1124
}